No. 1
Compound: LaNd2Pt
Source: OQMD via LeMat-Bulk
Functional: PBE-GGA
Structure: relaxed

formation energy = -633 meV per atom
spin magnetization = 0.0 μB per formula unit
space group = Pnma (62)
VASP energy = -92.1 eV per cell

abc: 7.281 10.102 6.715
angles: 90.00 90.00 90.00
Sites, in units of the cell vectors:
La  0.028  0.250  0.141
La  0.972  0.750  0.859
La  0.528  0.250  0.359
La  0.472  0.750  0.641
Pt  0.880  0.250  0.565
Pt  0.620  0.750  0.065
Pt  0.120  0.750  0.435
Pt  0.380  0.250  0.935
Nd  0.676  0.063  0.829
Nd  0.824  0.937  0.329
Nd  0.324  0.563  0.171
Nd  0.824  0.563  0.329
Nd  0.176  0.063  0.671
Nd  0.676  0.437  0.829
Nd  0.176  0.437  0.671
Nd  0.324  0.937  0.171


No. 2
Compound: La2NdZn2Si4Pt2
Source: OQMD via LeMat-Bulk
Functional: PBE-GGA
Structure: relaxed

spin magnetization = 0.0 μB per formula unit
space group = Immm (71)
VASP energy = -60.7 eV per cell

abc: 12.910 12.910 12.910
angles: 161.25 161.05 26.77
Sites, in units of the cell vectors:
La  0.646  0.146  0.500
La  0.354  0.854  0.500
Zn  0.750  0.750  0.000
Zn  0.250  0.250  0.000
Nd  0.000  0.000  0.000
Si  0.809  0.309  0.500
Si  0.452  0.452  0.000
Si  0.548  0.548  0.000
Si  0.191  0.691  0.500
Pt  0.906  0.406  0.500
Pt  0.094  0.594  0.500


No. 3
Compound: LaNdSn2Pt4
Source: OQMD via LeMat-Bulk
Functional: PBE-GGA
Structure: relaxed

spin magnetization = 0.0 μB per formula unit
space group = P-6m2 (187)
VASP energy = -49.5 eV per cell

abc: 4.643 4.643 9.378
angles: 90.00 90.00 120.00
Sites, in units of the cell vectors:
Sn  0.333  0.667  0.255
Sn  0.333  0.667  0.745
La  0.000  0.000  0.000
Pt  0.667  0.333  0.168
Pt  0.000  0.000  0.662
Pt  0.667  0.333  0.832
Pt  0.000  0.000  0.338
Nd  0.667  0.333  0.500